1.
# LaAlBr2

LaAlBr2 after structural relaxation (GGA-PBE, Alexandria via LeMat-Bulk).

abc: 5.750 5.750 5.750
angles: 137.04 123.37 73.63
Atoms (fractional coordinates):
Al: 0.250 0.750 0.500
Br: 0.036 0.036 0.000
Br: 0.464 0.464 0.000
La: 0.750 0.250 0.500

- Crystal system: orthorhombic
- Excess energy over the best structure of this formula in the dataset: 0.07 eV per formula unit
- Calculated volume: 105.75 Å³/cell


2.
# Ba5Au

Ba5Au after structural relaxation (GGA-PBE, Alexandria via LeMat-Bulk).

abc: 7.853 7.853 7.853
angles: 60.00 60.00 60.00
Atoms (fractional coordinates):
Ba: 0.250 0.250 0.250
Ba: 0.626 0.626 0.626
Ba: 0.626 0.626 0.123
Ba: 0.123 0.626 0.626
Ba: 0.626 0.123 0.626
Au: 0.000 0.000 0.000

- Crystal system: cubic
- DFT formation energy: 0.334 eV per atom
- Excess energy over the best structure of this formula in the dataset: 3.32 eV per formula unit
- Calculated volume: 342.41 Å³/cell